(w)
First-principles (PBE-GGA) data for a relaxed structure of PmTmHg4, as listed in the Alexandria database.

```
PmTmHg4
1.0
5.3426 -1.9325 0.0000
5.3426 1.9325 0.0000
-2.8406 0.0000 7.3885
Pm Tm Hg
1 1 4
Direct
0.0000 0.0000 0.0000
0.0000 0.0000 0.5000
0.3324 0.3324 0.6570
0.3333 0.3333 0.1773
0.6667 0.6667 0.8227
0.6676 0.6676 0.3430
```

Summary:
- theoretical density (Mg/m³) = 12.15
- symmetry = C2/m, No. 12



(x)
First-principles (PBE-GGA) data for a relaxed structure of PmTmHg4, as listed in the Alexandria database.

```
PmTmHg4
1.0
0.0000 4.2201 4.2201
4.2201 0.0000 4.2201
4.2201 4.2201 0.0000
Pm Tm Hg
1 1 4
Direct
0.0000 0.0000 0.0000
0.2500 0.2500 0.2500
0.1250 0.6250 0.6250
0.6250 0.1250 0.6250
0.6250 0.6250 0.1250
0.6250 0.6250 0.6250
```

Summary:
- theoretical density (Mg/m³) = 12.33
- symmetry = F-43m, No. 216



Top of the stability list: (w), leading by 13.3 kJ/mol of atoms.